Entry 1:
Density functional theory data (PBE) for a geometry-optimized MgAuN structure.

Unit cell a=3.519 b=3.519 c=8.310 alpha=90.00 beta=90.00 gamma=120.00
Fractional positions:
Mg1 0.333 0.667 0.250
Mg2 0.667 0.333 0.750
Au1 0.000 0.000 0.000
Au2 0.000 0.000 0.500
N1 0.333 0.667 0.750
N2 0.667 0.333 0.250

Values from the calculation:
Formation energy from raw total energies: 0.387 eV per atom
Space-group type: P6_3/mmc, No. 194
D(E_F): 0.376 states/eV per atom

Entry 2:
Density functional theory data (PBE) for a geometry-optimized MgAuN structure.

Unit cell a=4.023 b=4.022 c=10.376 alpha=90.00 beta=101.10 gamma=90.00
Fractional positions:
Mg1 0.084 0.000 0.167
Mg2 0.416 0.500 0.833
Mg3 0.584 0.500 0.167
Mg4 0.916 0.000 0.833
Au1 0.191 0.500 0.381
Au2 0.309 0.000 0.619
Au3 0.691 0.000 0.381
Au4 0.809 0.500 0.619
N1 0.032 0.500 0.064
N2 0.468 0.000 0.936
N3 0.532 0.000 0.064
N4 0.968 0.500 0.936

Values from the calculation:
Formation energy from raw total energies: -0.238 eV per atom
Space-group type: C2/m, No. 12
D(E_F): 0.174 states/eV per atom

Entry 3:
Density functional theory data (PBE) for a geometry-optimized MgAuN structure.

Unit cell a=4.870 b=3.417 c=10.449 alpha=90.00 beta=94.37 gamma=90.00
Fractional positions:
Mg1 0.102 0.000 0.324
Mg2 0.398 0.500 0.676
Mg3 0.602 0.500 0.324
Mg4 0.898 0.000 0.676
Au1 0.203 0.500 0.119
Au2 0.297 0.000 0.881
Au3 0.703 0.000 0.119
Au4 0.797 0.500 0.881
N1 0.012 0.500 0.561
N2 0.488 0.000 0.439
N3 0.511 0.000 0.561
N4 0.988 0.500 0.439

Values from the calculation:
Formation energy from raw total energies: -0.234 eV per atom
Space-group type: C2/m, No. 12
D(E_F): 0.253 states/eV per atom